No. 1
A plane-wave DFT calculation with PBE was carried out for TiInNi2Os after structural relaxation.

Output
- N(E_F): 5.8 states/eV/f.u.
- ΔE_f: 0.77 eV per atom
- ρ: 7.95 Mg/m³

```
5
Lattice="4.632 0.000 0.000 0.000 4.577 0.000 0.000 0.000 4.632" Properties=species:S:1:pos:R:3 pbc="T T T"
Ni 0.000 0.000 2.316
Ni 2.316 0.000 0.000
Ti 0.000 2.289 0.000
Os 0.000 0.000 0.000
In 2.316 2.289 2.316
```

=====

No. 2
A plane-wave DFT calculation with PBE was carried out for ZrInNiOs after structural relaxation.

Output
- N(E_F): 3.1 states/eV/f.u.
- ΔE_f: -0.19 eV per atom
- ρ: 11.17 Mg/m³

```
4
Lattice="-0.458 3.498 -2.911 1.515 -0.389 -4.298 -2.980 -0.278 -3.459" Properties=species:S:1:pos:R:3 pbc="T T T"
Ni -0.481 0.708 -2.667
Os -1.442 2.124 -8.001
Zr 0.000 0.000 0.000
In -0.961 1.416 -5.334
```

=====

No. 3
A plane-wave DFT calculation with PBE was carried out for InNi2P2 after structural relaxation.

Output
- N(E_F): 2.9 states/eV/f.u.
- ΔE_f: 0.03 eV per atom
- ρ: 6.50 Mg/m³

```
10
Lattice="-5.750 0.020 4.497 -4.370 -1.746 -5.581 0.409 -2.737 0.536" Properties=species:S:1:pos:R:3 pbc="T T T"
In 0.000 0.000 0.000
In -5.060 -0.863 -0.542
Ni -2.354 -0.656 -1.555
Ni -7.766 -1.070 0.470
Ni -6.004 -1.524 -3.200
Ni -4.116 -0.202 2.115
P -3.374 -2.479 -2.672
P -6.337 -1.984 2.123
P -7.230 -2.861 -1.677
P -2.480 -1.602 1.128
```

=====

No. 4
A plane-wave DFT calculation with PBE was carried out for InNiP after structural relaxation.

Output
- N(E_F): 2.4 states/eV/f.u.
- ΔE_f: 0.42 eV per atom
- ρ: 6.57 Mg/m³

```
9
Lattice="-1.082 -1.013 7.406 0.845 -5.973 -4.545 3.104 0.085 0.465" Properties=species:S:1:pos:R:3 pbc="T T T"
In -0.310 -0.290 2.119
In 0.242 -1.709 -1.301
In -0.169 -4.987 2.042
Ni 0.930 -0.540 4.490
Ni 2.038 -3.391 -2.380
Ni 1.451 -2.928 1.449
P 0.203 -4.319 -0.561
P -0.440 -2.666 3.422
P 1.552 0.043 0.233
```